Record 1
8
Lattice="-1.424 -1.986 -1.887 -1.681 -1.046 2.369 -8.689 8.517 -2.406" Properties=species:S:1:pos:R:3 comment="Ti4ReRu3, relaxed, DFT PBE" energy_ev_per_atom=-9.6714 dos_at_fermi_per_ev_atom=0.386 spacegroup="P4/mmm (123)" pbc="T T T"
Ru -3.754 0.643 -0.369
Ti -1.086 1.064 -0.301
Re -1.553 -1.516 0.241
Ru -8.039 4.843 -1.555
Ru -5.897 2.743 -0.962
Ti -7.603 7.453 -2.105
Ti -3.257 3.193 -0.902
Ti -5.432 5.325 -1.504

***

Record 2
10
Lattice="7.178 0.000 0.000 0.000 7.178 0.000 0.000 0.000 2.947" Properties=species:S:1:pos:R:3 comment="Ti2ReRu2, relaxed, DFT PBE" energy_ev_per_atom=-9.4531 dos_at_fermi_per_ev_atom=1.150 spacegroup="P4/mbm (127)" pbc="T T T"
Re 0.000 0.000 0.000
Ru 6.204 4.563 0.000
Ru 2.615 6.204 0.000
Ru 4.563 0.974 0.000
Ti 1.192 4.781 1.473
Ti 5.986 2.397 1.473
Ti 4.781 5.986 1.473
Ti 2.397 1.192 1.473
Re 3.589 3.589 0.000
Ru 0.974 2.615 0.000

***

Record 3
5
Lattice="-3.730 1.778 -1.504 0.429 -2.267 -3.744 -2.289 -3.323 1.749" Properties=species:S:1:pos:R:3 comment="TiReRu3, relaxed, DFT PBE" energy_ev_per_atom=-8.1272 de_polymorph_ev_per_atom=0.1292 dos_at_fermi_per_ev_atom=2.431 spacegroup="Pm-3m (221)" pbc="T T T"
Re -2.795 -1.906 -1.750
Ru 0.215 -1.133 -1.872
Ti 0.000 0.000 0.000
Ru -1.144 -1.661 0.875
Ru -1.865 0.889 -0.752

***

Record 4
10
Lattice="-2.683 -1.346 -0.714 1.518 -2.491 -1.007 -0.687 -6.161 14.203" Properties=species:S:1:pos:R:3 comment="Ti5ReRu4, relaxed, DFT PBE" energy_ev_per_atom=-9.6067 dos_at_fermi_per_ev_atom=0.336 spacegroup="P4/mmm (123)" pbc="T T T"
Ti -1.201 -7.465 11.926
Ru -0.412 -3.690 8.508
Ru -0.276 -2.471 5.696
Ti -0.788 -3.764 3.394
Ti -1.064 -6.234 9.088
Re 0.000 0.000 0.000
Ti -0.926 -4.999 6.241
Ru -0.547 -4.908 11.315
Ru -0.140 -1.253 2.888
Ti -0.651 -2.533 0.557

***

Record 5
8
Lattice="-2.490 1.840 0.201 -1.840 -2.422 -0.614 -0.834 -2.463 12.213" Properties=species:S:1:pos:R:3 comment="Ti4Re3Ru, relaxed, DFT PBE" energy_ev_per_atom=-10.2622 dos_at_fermi_per_ev_atom=0.928 spacegroup="P4/mmm (123)" pbc="T T T"
Re -2.791 -2.140 8.964
Ru -2.165 -0.291 -0.206
Re -2.582 -1.522 5.900
Ti -0.312 -0.921 4.566
Ti -0.731 -2.159 10.702
Re -2.372 -0.904 2.836
Ti -0.522 -1.542 7.647
Ti -0.103 -0.305 1.511

***

Record 6
5
Lattice="-0.232 4.557 -0.786 -3.802 -0.636 -2.566 -2.634 0.517 3.774" Properties=species:S:1:pos:R:3 comment="TiReRu3, relaxed, DFT PBE" energy_ev_per_atom=-8.2565 de_polymorph_ev_per_atom=0.0000 dos_at_fermi_per_ev_atom=1.445 spacegroup="Pm-3m (221)" pbc="T T T"
Re 0.000 0.000 0.000
Ru -1.901 -0.318 -1.283
Ti -3.334 2.219 0.211
Ru -1.317 0.258 1.887
Ru -0.116 2.279 -0.393

***

| no. | V (Å³/cell) | mass density (Mg/m³) | total magnetization (μB/atom) |
| --- | --- | --- | --- |
| 1 | 118.2 | 9.564 | 0.000 |
| 2 | 151.8 | 10.588 | 0.000 |
| 3 | 85.0 | 10.491 | 0.005 |
| 4 | 147.5 | 9.340 | 0.000 |
| 5 | 120.2 | 11.759 | 0.000 |
| 6 | 99.3 | 8.986 | 0.000 |